# 1
This record from Alexandria describes PmSmEuDy after structural relaxation. The functional is PBE-GGA.

Structure (POSCAR):
```
PmSmEuDy
1.0
5.815 0.000 0.000
2.907 5.036 0.000
2.907 1.679 4.748
Sm Pm Eu Dy
1 1 1 1
direct
0.250 0.250 0.250
0.000 0.000 0.000
0.500 0.500 0.500
0.750 0.750 0.750
```

Computed properties:
formation energy = 0.6 eV/f.u.
calculated volume = 139.0 Å³ per cell

---

# 2
This record from Alexandria describes MgGeBiPd2 after structural relaxation. The functional is PBE-GGA.

Structure (POSCAR):
```
MgGeBiPd2
1.0
4.774 0.000 0.000
0.000 4.774 0.000
0.000 0.000 4.851
Pd Ge Bi Mg
2 1 1 1
direct
0.000 0.500 0.000
0.500 0.000 0.000
0.000 0.000 0.500
0.500 0.500 0.500
0.000 0.000 0.000
```

Computed properties:
formation energy = 1.6 eV/f.u.
calculated volume = 110.6 Å³ per cell

---

# 3
This record from Alexandria describes KCa2Ni2 after structural relaxation. The functional is PBE-GGA.

Structure (POSCAR):
```
KCa2Ni2
1.0
8.107 0.000 0.000
0.000 8.107 0.000
0.000 0.000 3.968
Ca Ni K
4 4 2
direct
0.657 0.843 0.500
0.157 0.657 0.500
0.843 0.343 0.500
0.343 0.157 0.500
0.104 0.396 0.000
0.604 0.104 0.000
0.896 0.604 0.000
0.396 0.896 0.000
0.500 0.500 0.000
0.000 0.000 0.000
```

Computed properties:
E above lowest polymorph = 0.000 eV per formula unit
formation energy = 0.9 eV/f.u.
calculated volume = 260.8 Å³ per cell

---

# 4
This record from Alexandria describes PmTlCo4 after structural relaxation. The functional is PBE-GGA.

Structure (POSCAR):
```
PmTlCo4
1.0
5.078 0.000 0.000
2.539 4.397 0.000
2.539 1.466 4.146
Co Tl Pm
4 1 1
direct
0.626 0.123 0.626
0.123 0.626 0.626
0.626 0.626 0.123
0.626 0.626 0.626
0.000 0.000 0.000
0.250 0.250 0.250
```

Computed properties:
formation energy = 0.3 eV/f.u.
calculated volume = 92.6 Å³ per cell

---

# 5
This record from Alexandria describes CdRe2W after structural relaxation. The functional is PBE-GGA.

Structure (POSCAR):
```
CdRe2W
1.0
-3.479 1.202 -3.442
-2.820 -1.599 -3.858
-4.102 -1.288 2.163
Re W Cd
2 1 1
direct
0.015 0.015 0.974
0.745 0.745 0.754
0.487 0.487 0.524
0.253 0.253 0.248
```

Computed properties:
formation energy = 2.0 eV/f.u.
calculated volume = 65.8 Å³ per cell

---

# 6
This record from Alexandria describes Zn2OsRu after structural relaxation. The functional is PBE-GGA.

Structure (POSCAR):
```
Zn2OsRu
1.0
-0.894 -2.554 -0.252
2.573 0.404 0.777
-2.612 0.064 8.613
Ru Zn Os
1 2 1
direct
0.500 0.500 0.749
0.000 0.000 0.997
0.500 0.500 0.250
0.000 0.000 0.504
```

Computed properties:
E above lowest polymorph = 1.028 eV per formula unit
formation energy = 1.0 eV/f.u.
calculated volume = 58.4 Å³ per cell

---

# 7
This record from Alexandria describes Sr3PbF after structural relaxation. The functional is PBE-GGA.

Structure (POSCAR):
```
Sr3PbF
1.0
-1.213 0.817 5.169
-4.973 -1.833 -0.877
1.631 -4.983 1.170
Sr F Pb
3 1 1
direct
0.000 0.000 0.500
0.000 0.500 0.000
0.500 0.000 0.000
0.000 0.000 0.000
0.500 0.500 0.500
```

Computed properties:
E above lowest polymorph = 0.280 eV per formula unit
E_form (uncorrected) = -6.4 eV/f.u.
calculated volume = 155.0 Å³ per cell

---

# 8
This record from Alexandria describes Ca2ZrSb after structural relaxation. The functional is PBE-GGA.

Structure (POSCAR):
```
Ca2ZrSb
1.0
4.670 0.000 0.000
0.000 4.233 0.008
0.000 2.105 6.316
Zr Ca Sb
1 2 1
direct
0.500 0.562 0.751
0.000 0.969 0.937
0.500 0.279 0.317
0.000 0.690 0.495
```

Computed properties:
E_form (uncorrected) = -0.8 eV/f.u.
calculated volume = 124.8 Å³ per cell

---

# 9
This record from Alexandria describes Sm2CuBr after structural relaxation. The functional is PBE-GGA.

Structure (POSCAR):
```
Sm2CuBr
1.0
-2.903 -0.164 1.878
-1.420 -2.077 -2.376
2.954 -6.586 3.992
Sm Cu Br
2 1 1
direct
0.000 0.000 0.782
0.000 0.000 0.218
0.500 0.500 0.000
0.500 0.500 0.500
```

Computed properties:
E above lowest polymorph = 0.385 eV per formula unit
E_form (uncorrected) = -2.2 eV/f.u.
calculated volume = 98.8 Å³ per cell

---

# 10
This record from Alexandria describes Zr2CrBr after structural relaxation. The functional is PBE-GGA.

Structure (POSCAR):
```
Zr2CrBr
1.0
9.676 0.109 0.064
9.067 3.379 0.064
9.067 1.687 2.929
Zr Cr Br
2 1 1
direct
0.246 0.246 0.246
0.002 0.002 0.002
0.744 0.744 0.744
0.509 0.509 0.509
```

Computed properties:
E above lowest polymorph = 0.956 eV per formula unit
E_form (uncorrected) = 0.1 eV/f.u.
calculated volume = 90.9 Å³ per cell

---

Which value of calculated volume does entry 3 give? 260.8 Å³ per cell

---

What is the calculated volume in the third record? 260.8 Å³ per cell

---

Which value of calculated volume does entry 5 give? 65.8 Å³ per cell